1.
DFT (GGA-PBE) results for crystalline Ce2BeP4Rh3 at its relaxed geometry.

Its volume is 162.07 Å³/f.u. The total energy comes out at -69.16 eV for the cell shown. The formation energy is -0.987 eV per atom.

It has space group P-4m2 (No. 115), with a = 4.151 Å, b = 4.151 Å, c = 9.404 Å, α = 90.00°, β = 90.00° and γ = 90.00°. The asymmetric unit holds Ce at (0.000, 0.500, 0.248), Be at (0.000, 0.000, 0.500), P at (0.000, 0.000, 0.000), P at (0.000, 0.500, 0.632), P at (0.500, 0.500, 0.000), Rh at (0.000, 0.500, 0.886) and Rh at (0.500, 0.500, 0.500).

2.
DFT (GGA-PBE) results for crystalline CeBePRh6 at its relaxed geometry.

Its volume is 149.74 Å³/f.u. The total energy comes out at -247.09 eV for the cell shown. The formation energy is -0.288 eV per atom.

It has space group Imma (No. 74), with a = 6.034 Å, b = 8.918 Å, c = 11.132 Å, α = 90.00°, β = 90.00° and γ = 90.00°. The asymmetric unit holds Ce at (0.000, 0.250, 0.160), Be at (0.250, 0.250, 0.750), P at (0.000, 0.000, 0.500), Rh at (0.000, 0.250, 0.421), Rh at (0.000, 0.250, 0.903) and Rh at (0.230, 0.010, 0.866).

3.
DFT (GGA-PBE) results for crystalline CeBeP2Ru at its relaxed geometry.

Its volume is 78.54 Å³/f.u. The total energy comes out at -67.64 eV for the cell shown. The formation energy is -0.813 eV per atom.

It has space group I-4m2 (No. 119), with a = 3.695 Å, b = 3.695 Å, c = 11.503 Å, α = 90.00°, β = 90.00° and γ = 90.00°. The asymmetric unit holds Ce at (0.000, 0.000, 0.000), Be at (0.000, 0.500, 0.250), P at (0.000, 0.000, 0.373) and Ru at (0.000, 0.500, 0.750).

4.
DFT (GGA-PBE) results for crystalline CePa2Be at its relaxed geometry.

The energy above the lowest structure with this stoichiometry comes out at 8.45 kJ/mol of atoms. Its volume is 86.16 Å³/f.u. The total energy comes out at -82.31 eV for the cell shown. The formation energy is 0.304 eV per atom.

It has space group R-3m (No. 166, hexagonal axes), with a = 3.0632 Å, b = 3.0632 Å, c = 31.8085 Å, α = 90.00°, β = 90.00° and γ = 120.00°. The asymmetric unit holds Ce at (0.0000, 0.0000, 0.0000), Pa at (0.0000, 0.0000, 0.0956) and Be at (0.0000, 0.0000, 0.5000).

5.
DFT (GGA-PBE) results for crystalline CePa2Be at its relaxed geometry.

The energy above the lowest structure with this stoichiometry comes out at 0.00 kJ/mol of atoms. Its volume is 88.71 Å³/f.u. The total energy comes out at -27.79 eV for the cell shown. The formation energy is 0.217 eV per atom.

It has space group P4/mmm (No. 123), with a = 3.361 Å, b = 3.361 Å, c = 7.853 Å, α = 90.00°, β = 90.00° and γ = 90.00°. The asymmetric unit holds Ce at (0.000, 0.000, 0.000), Pa at (0.500, 0.500, 0.306) and Be at (0.000, 0.000, 0.500).

6.
DFT (GGA-PBE) results for crystalline CePaBe4 at its relaxed geometry.

Its volume is 86.38 Å³/f.u. The total energy comes out at -118.16 eV for the cell shown. The formation energy is 0.132 eV per atom.

It has space group F-43m (No. 216), with a = 7.017 Å, b = 7.017 Å, c = 7.017 Å, α = 90.00°, β = 90.00° and γ = 90.00°. The asymmetric unit holds Ce at (0.000, 0.000, 0.000), Pa at (0.250, 0.250, 0.750) and Be at (0.125, 0.125, 0.375).

7.
DFT (GGA-PBE) results for crystalline CePaBe2 at its relaxed geometry.

Its volume is 74.22 Å³/f.u. The total energy comes out at -63.06 eV for the cell shown. The formation energy is 0.465 eV per atom.

It has space group R-3m (No. 166, hexagonal axes), with a = 2.9919 Å, b = 2.9919 Å, c = 28.7235 Å, α = 90.00°, β = 90.00° and γ = 120.00°. The asymmetric unit holds Ce at (0.0000, 0.0000, 0.0000), Pa at (0.0000, 0.0000, 0.5000) and Be at (0.0000, 0.0000, 0.2483).

8.
DFT (GGA-PBE) results for crystalline CePaBe2Si2 at its relaxed geometry.

Its volume is 106.50 Å³/f.u. The uncorrected formation energy comes out at -526 meV/atom. The total energy comes out at -36.89 eV for the cell shown.

It has space group P-3m1 (No. 164), with a = 3.8491 Å, b = 3.8491 Å, c = 8.3006 Å, α = 90.00°, β = 90.00° and γ = 120.00°. The asymmetric unit holds Ce at (0.0000, 0.0000, 0.0000), Pa at (0.0000, 0.0000, 0.5000), Be at (0.3333, 0.6667, 0.2630) and Si at (0.3333, 0.6667, 0.7446).

9.
DFT (GGA-PBE) results for crystalline CeBePb at its relaxed geometry.

Its volume is 67.82 Å³/f.u. The total energy comes out at -53.72 eV for the cell shown. The formation energy is -0.020 eV per atom.

It has space group Cmcm (No. 63), with a = 4.672 Å, b = 15.028 Å, c = 3.864 Å, α = 90.00°, β = 90.00° and γ = 90.00°. The asymmetric unit holds Ce at (0.000, 0.068, 0.250), Be at (0.000, 0.464, 0.250) and Pb at (0.000, 0.294, 0.250).

10.
DFT (GGA-PBE) results for crystalline Ce2BePb at its relaxed geometry.

Its volume is 102.66 Å³/f.u. The total energy comes out at -50.91 eV for the cell shown. The formation energy is 0.583 eV per atom.

It has space group R-3m (No. 166, hexagonal axes), with a = 3.1691 Å, b = 3.1691 Å, c = 35.4096 Å, α = 90.00°, β = 90.00° and γ = 120.00°. The asymmetric unit holds Ce at (0.0000, 0.0000, 0.0843), Be at (0.0000, 0.0000, 0.0000) and Pb at (0.0000, 0.0000, 0.5000).

11.
DFT (GGA-PBE) results for crystalline CeBe3Pd10 at its relaxed geometry.

Its volume is 210.21 Å³/f.u. The total energy comes out at -609.14 eV for the cell shown. The formation energy is -0.507 eV per atom.

It has space group Fm-3m (No. 225), with a = 11.892 Å, b = 11.892 Å, c = 11.892 Å, α = 90.00°, β = 90.00° and γ = 90.00°. The asymmetric unit holds Ce at (0.250, 0.250, 0.250), Be at (0.000, 0.000, 0.229), Pd at (0.000, 0.168, 0.332) and Pd at (0.118, 0.118, 0.118).

12.
DFT (GGA-PBE) results for crystalline CeBePd at its relaxed geometry.

The energy above the lowest structure with this stoichiometry comes out at 0.00 kJ/mol of atoms. Its volume is 51.77 Å³/f.u. The total energy comes out at -64.50 eV for the cell shown. The formation energy is -0.424 eV per atom.

It has space group C2/m (No. 12), with a = 9.859 Å, b = 4.227 Å, c = 6.728 Å, α = 90.00°, β = 132.39° and γ = 90.00°. The asymmetric unit holds Ce at (0.236, 0.000, 0.334), Be at (0.074, 0.000, 0.715) and Pd at (0.106, 0.500, 0.909).

13.
DFT (GGA-PBE) results for crystalline CeBe4Pd8 at its relaxed geometry.

Its volume is 183.74 Å³/f.u. The total energy comes out at -138.55 eV for the cell shown. The formation energy is -0.530 eV per atom.

It has space group I4/mmm (No. 139), with a = 8.445 Å, b = 8.445 Å, c = 5.153 Å, α = 90.00°, β = 90.00° and γ = 90.00°. The asymmetric unit holds Ce at (0.000, 0.000, 0.000), Be at (0.250, 0.250, 0.250), Pd at (0.000, 0.226, 0.500) and Pd at (0.000, 0.332, 0.000).

14.
DFT (GGA-PBE) results for crystalline CeBePd at its relaxed geometry.

The energy above the lowest structure with this stoichiometry comes out at 1.99 kJ/mol of atoms. Its volume is 57.20 Å³/f.u. The total energy comes out at -16.06 eV for the cell shown. The formation energy is -0.403 eV per atom.

It has space group P-6m2 (No. 187), with a = 4.1850 Å, b = 4.1850 Å, c = 3.7710 Å, α = 90.00°, β = 90.00° and γ = 120.00°. The asymmetric unit holds Ce at (0.0000, 0.0000, 0.0000), Be at (0.6667, 0.3333, 0.5000) and Pd at (0.3333, 0.6667, 0.5000).

15.
DFT (GGA-PBE) results for crystalline Ce2BePd at its relaxed geometry.

Its volume is 80.94 Å³/f.u. The total energy comes out at -57.57 eV for the cell shown. The formation energy is 0.399 eV per atom.

It has space group R-3m (No. 166, hexagonal axes), with a = 2.9156 Å, b = 2.9156 Å, c = 32.9814 Å, α = 90.00°, β = 90.00° and γ = 120.00°. The asymmetric unit holds Ce at (0.0000, 0.0000, 0.0887), Be at (0.0000, 0.0000, 0.0000) and Pd at (0.0000, 0.0000, 0.5000).

16.
DFT (GGA-PBE) results for crystalline CeBe2Pd7 at its relaxed geometry.

Its volume is 170.19 Å³/f.u. The total energy comes out at -105.38 eV for the cell shown. The formation energy is -0.295 eV per atom.

It has space group Cmmm (No. 65), with a = 7.267 Å, b = 10.968 Å, c = 4.270 Å, α = 90.00°, β = 90.00° and γ = 90.00°. The asymmetric unit holds Ce at (0.000, 0.000, 0.000), Be at (0.000, 0.291, 0.500), Pd at (0.000, 0.330, 0.000), Pd at (0.000, 0.500, 0.500) and Pd at (0.192, 0.131, 0.500).

17.
DFT (GGA-PBE) results for crystalline Ce2Be6Pd21 at its relaxed geometry.

Its volume is 423.30 Å³/f.u. The total energy comes out at -636.60 eV for the cell shown. The formation energy is -0.547 eV per atom.

It has space group Fm-3m (No. 225), with a = 11.919 Å, b = 11.919 Å, c = 11.919 Å, α = 90.00°, β = 90.00° and γ = 90.00°. The asymmetric unit holds Ce at (0.250, 0.250, 0.250), Be at (0.000, 0.000, 0.230), Pd at (0.000, 0.000, 0.500), Pd at (0.000, 0.170, 0.330) and Pd at (0.118, 0.118, 0.118).

18.
DFT (GGA-PBE) results for crystalline Ce2BePd9 at its relaxed geometry.

Its volume is 199.35 Å³/f.u. The total energy comes out at -69.52 eV for the cell shown. The formation energy is -0.599 eV per atom.

It has space group P4/mmm (No. 123), with a = 4.121 Å, b = 4.121 Å, c = 11.738 Å, α = 90.00°, β = 90.00° and γ = 90.00°. The asymmetric unit holds Ce at (0.000, 0.000, 0.182), Be at (0.000, 0.000, 0.500), Pd at (0.000, 0.500, 0.000), Pd at (0.000, 0.500, 0.352), Pd at (0.500, 0.500, 0.176) and Pd at (0.500, 0.500, 0.500).

19.
DFT (GGA-PBE) results for crystalline Ce2Be4PdPt3 at its relaxed geometry.

Its volume is 158.23 Å³/f.u. The total energy comes out at -57.69 eV for the cell shown. The formation energy is -0.760 eV per atom.

It has space group P-4m2 (No. 115), with a = 4.050 Å, b = 4.050 Å, c = 9.646 Å, α = 90.00°, β = 90.00° and γ = 90.00°. The asymmetric unit holds Ce at (0.000, 0.500, 0.245), Be at (0.000, 0.000, 0.000), Be at (0.000, 0.500, 0.623), Be at (0.500, 0.500, 0.000), Pd at (0.000, 0.000, 0.500), Pt at (0.000, 0.500, 0.873) and Pt at (0.500, 0.500, 0.500).

20.
DFT (GGA-PBE) results for crystalline Ce2BePdPt6 at its relaxed geometry.

Its volume is 185.77 Å³/f.u. The total energy comes out at -64.03 eV for the cell shown. The formation energy is -0.700 eV per atom.

It has space group P-1 (No. 2), with a = 5.523 Å, b = 5.530 Å, c = 7.522 Å, α = 69.60°, β = 69.48° and γ = 62.34°. The asymmetric unit holds Ce at (0.222, 0.222, 0.201), Be at (0.500, 0.500, 0.500), Pd at (0.000, 0.000, 0.000), Pt at (0.149, 0.669, 0.351), Pt at (0.306, 0.305, 0.791) and Pt at (0.332, 0.850, 0.649).

21.
DFT (GGA-PBE) results for crystalline Ce2BeSbPd6 at its relaxed geometry.

Its volume is 192.43 Å³/f.u. The uncorrected formation energy comes out at -611 meV/atom. The total energy comes out at -113.97 eV for the cell shown.

It has space group C2/m (No. 12), with a = 9.929 Å, b = 5.766 Å, c = 7.575 Å, α = 90.00°, β = 117.45° and γ = 90.00°. The asymmetric unit holds Ce at (0.239, 0.000, 0.298), Be at (0.000, 0.500, 0.000), Sb at (0.000, 0.000, 0.500), Pd at (0.083, 0.245, 0.856) and Pd at (0.206, 0.500, 0.271).

22.
DFT (GGA-PBE) results for crystalline Ce2ScBePd6 at its relaxed geometry.

Its volume is 203.96 Å³/f.u. The total energy comes out at -176.32 eV for the cell shown. The formation energy is -0.569 eV per atom.

It has space group R-3m (No. 166, hexagonal axes), with a = 5.8192 Å, b = 5.8192 Å, c = 20.8642 Å, α = 90.00°, β = 90.00° and γ = 120.00°. The asymmetric unit holds Ce at (0.0000, 0.0000, 0.2401), Sc at (0.0000, 0.0000, 0.0000), Be at (0.0000, 0.0000, 0.5000) and Pd at (0.0078, 0.5039, 0.7683).

23.
DFT (GGA-PBE) results for crystalline Ce2BeSi4Pd3 at its relaxed geometry.

Its volume is 172.87 Å³/f.u. The uncorrected formation energy comes out at -754 meV/atom. The total energy comes out at -60.41 eV for the cell shown.

It has space group P-4m2 (No. 115), with a = 4.159 Å, b = 4.159 Å, c = 9.995 Å, α = 90.00°, β = 90.00° and γ = 90.00°. The asymmetric unit holds Ce at (0.000, 0.500, 0.246), Be at (0.500, 0.500, 0.000), Si at (0.000, 0.000, 0.500), Si at (0.000, 0.500, 0.870), Si at (0.500, 0.500, 0.500), Pd at (0.000, 0.000, 0.000) and Pd at (0.000, 0.500, 0.627).